Entry 1:
An optimized crystal structure of ZrFeOs. Source: Alexandria, functional PBE-GGA.

Values from the calculation:
Density of states at the Fermi level ... 0.94 states/eV/atom
Distance to the lowest polymorph of the same formula ... 0.347 eV per atom
Total DFT energy (no corrections) ... -28.2 eV for the cell shown
Symmetry ... I4mm (107)
Total magnetization ... 0.00 μB/f.u.
ΔE_f ... 0.1 kJ per mole of atoms

Structure (POSCAR):
```
ZrFeOs
1.0
-1.402 1.402 5.871
1.402 -1.402 5.871
1.402 1.402 -5.871
Zr Fe Os
1 1 1
Direct
0.000 0.000 0.000
0.320 0.320 0.000
0.694 0.694 0.000
```

---

Entry 2:
An optimized crystal structure of HoTcN2. Source: Alexandria, functional PBE-GGA.

Values from the calculation:
Density of states at the Fermi level ... 0.57 states/eV/atom
Distance to the lowest polymorph of the same formula ... 0.177 eV per atom
Total DFT energy (no corrections) ... -34.6 eV for the cell shown
Symmetry ... R-3m (166)
Total magnetization ... 1.67 μB/f.u.

Structure (POSCAR):
```
HoTcN2
1.0
1.649 0.952 5.032
-1.649 0.952 5.032
0.000 -1.904 5.032
Ho Tc N
1 1 2
Direct
0.000 0.000 0.000
0.500 0.500 0.500
0.240 0.240 0.240
0.760 0.760 0.760
```

---

Entry 3:
An optimized crystal structure of Ti2CN. Source: Alexandria, functional PBE-GGA.

Values from the calculation:
Density of states at the Fermi level ... 0.51 states/eV/atom
Distance to the lowest polymorph of the same formula ... 0.000 eV per atom
Total DFT energy (no corrections) ... -38.5 eV for the cell shown
Symmetry ... R-3m (166)
Total magnetization ... 0.00 μB/f.u.

Structure (POSCAR):
```
Ti2CN
1.0
1.517 0.876 4.969
-1.517 0.876 4.969
0.000 -1.751 4.969
Ti C N
2 1 1
Direct
0.249 0.249 0.249
0.751 0.751 0.751
0.500 0.500 0.500
0.000 0.000 0.000
```

---

Entry 4:
An optimized crystal structure of ErHgPb2. Source: Alexandria, functional PBE-GGA.

Values from the calculation:
Density of states at the Fermi level ... 0.55 states/eV/atom
Total DFT energy (no corrections) ... -11.8 eV for the cell shown
Symmetry ... R-3m (166)
Total magnetization ... 0.00 μB/f.u.
ΔE_f ... 11.0 kJ per mole of atoms

Structure (POSCAR):
```
ErHgPb2
1.0
1.773 1.024 11.208
-1.773 1.024 11.208
0.000 -2.047 11.208
Er Hg Pb
1 1 2
Direct
0.000 0.000 0.000
0.500 0.500 0.500
0.092 0.092 0.092
0.908 0.908 0.908
```